Tc3OsAu: relaxed, PBEsol.

```
5
Lattice="-2.9547 -0.6994 -3.4663 -1.1173 -4.1009 1.7798 -3.3549 1.9817 2.4599" Properties=species:S:1:pos:R:3 pbc="T T T"
Os 0.0000 0.0000 0.0000
Au -3.7135 -1.4093 0.3868
Tc -0.5587 -2.0505 0.8899
Tc -1.6775 0.9909 1.2300
Tc -1.4773 -0.3497 -1.7331
```

ΔH_f (0 K) = 9.43 eV per formula unit
ρ = 11.56 g/cm3

TiBi2Pt: relaxed, PBEsol.

```
4
Lattice="-4.5158 1.5362 -1.1984 -3.7848 -0.9073 3.0068 -2.0899 3.6821 2.5027" Properties=species:S:1:pos:R:3 pbc="T T T"
Bi -2.5976 1.0777 1.0778
Bi -7.7929 3.2332 3.2334
Pt -5.1953 2.1555 2.1556
Ti 0.0000 0.0000 0.0000
```

ΔH_f (0 K) = 0.29 eV per formula unit
ρ = 13.05 g/cm3

CrCoIr2: relaxed, PBEsol.

```
4
Lattice="3.7328 0.0000 0.0000 0.0000 3.7328 0.0000 -1.8664 -1.8664 3.5602" Properties=species:S:1:pos:R:3 pbc="T T T"
Cr 0.0000 0.0000 0.0000
Ir 1.8664 0.0000 1.7801
Ir 0.0000 1.8664 1.7801
Co 1.8664 1.8664 0.0000
```

ΔH_f (0 K) = -0.48 eV per formula unit
ρ = 16.58 g/cm3

Zn2Au2Br: relaxed, PBEsol.

```
5
Lattice="3.8704 0.0000 0.0000 0.0000 3.8704 0.0000 -1.9352 -1.9352 6.2472" Properties=species:S:1:pos:R:3 pbc="T T T"
Zn 0.0000 1.9352 3.1236
Zn 1.9352 0.0000 3.1236
Au 0.0000 0.0000 4.8297
Au 1.9352 1.9352 1.4175
Br 0.0000 0.0000 0.0000
```

uncorrected formation energy = -17 kJ/mol of formula units
ρ = 10.73 g/cm3

CaAsNO2: relaxed, PBEsol.

```
5
Lattice="-1.4524 1.7081 2.9001 -3.3894 0.0952 -1.7535 -0.8924 -3.3762 1.5416" Properties=species:S:1:pos:R:3 pbc="T T T"
As 0.0000 0.0000 0.0000
Ca -2.8671 -0.7864 1.3441
O -0.4462 -1.6881 0.7708
O -1.6947 0.0476 -0.8768
N -0.7262 0.8541 1.4500
```

uncorrected formation energy = -567 kJ/mol of formula units
ρ = 5.01 g/cm3

FeOs2Ru2: relaxed, PBEsol.

```
5
Lattice="-3.1791 -0.0680 -1.7662 -1.0800 -2.8026 2.0517 -0.1064 5.1389 3.7393" Properties=species:S:1:pos:R:3 pbc="T T T"
Ru -1.6579 0.4505 2.9669
Ru -2.7075 1.8179 1.0579
Os -1.7860 2.9584 3.1009
Os -2.5794 -0.6900 0.9239
Fe 0.0000 0.0000 0.0000
```

ΔH_f (0 K) = 4.18 eV per formula unit
ρ = 13.79 g/cm3

ReHI2: relaxed, PBEsol.

```
8
Lattice="-4.2219 3.3635 -1.7744 -3.0723 -1.4543 4.5532 5.7486 3.1174 1.3292" Properties=species:S:1:pos:R:3 pbc="T T T"
I -3.0045 0.9037 3.5794
I -3.2389 3.0415 0.5587
I 3.2758 2.5180 1.5278
I -0.1236 3.5899 2.5501
Re -0.4854 1.3088 3.6359
Re 0.0000 0.0000 0.0000
H -1.0602 3.7177 0.4721
H -3.6471 0.9546 1.3894
```

ρ = 8.51 g/cm3
uncorrected energy = -0.2949 Ry per atom

KAlAg2: relaxed, PBEsol.

```
4
Lattice="-1.8033 -1.6791 -1.5733 3.7055 -3.7048 -0.2990 -1.8343 -2.1698 4.4128" Properties=species:S:1:pos:R:3 pbc="T T T"
K -0.9017 -0.8395 -0.7866
Al 0.0339 -3.7768 1.2703
Ag 1.8527 -1.8524 -0.1495
Ag -0.9172 -1.0849 2.2064
```

ΔH_f (0 K) = 1.11 eV per formula unit
ρ = 5.81 g/cm3

RbNiN2F: relaxed, PBEsol.

```
5
Lattice="-1.0157 -1.9368 2.8093 2.9569 -1.9624 -0.2839 2.7400 3.6240 3.4891" Properties=species:S:1:pos:R:3 pbc="T T T"
Ni 0.0000 0.0000 0.0000
N 1.4785 -0.9812 -0.1419
N -0.5078 -0.9684 1.4047
Rb 2.3406 -0.1376 3.0072
F 1.3700 1.8120 1.7445
```

uncorrected formation energy = 31 kJ/mol of formula units
ρ = 4.37 g/cm3

La2WBr: relaxed, PBEsol.

```
4
Lattice="3.4466 0.0000 0.0000 1.7233 2.9849 0.0000 1.7233 0.9950 9.8341" Properties=species:S:1:pos:R:3 pbc="T T T"
Br 1.7233 0.9950 2.5277
W 3.4466 1.9899 4.9539
La 5.1700 2.9849 0.2017
La 5.1700 2.9849 7.0678
```

uncorrected formation energy = 180 kJ/mol of formula units
ρ = 8.89 g/cm3

Zn2InP: relaxed, PBEsol.

```
4
Lattice="-0.7722 -2.3616 2.4085 3.3623 -0.7336 0.3586 0.4790 4.3593 4.4279" Properties=species:S:1:pos:R:3 pbc="T T T"
In 0.2258 2.0546 2.0870
P 1.7120 2.2469 5.2378
Zn 0.4371 3.9782 4.0408
Zn 1.4127 -0.4768 2.4713
```

ΔH_f (0 K) = 0.61 eV per formula unit
ρ = 6.16 g/cm3

CsNdW2O8: relaxed, PBEsol.

```
24
Lattice="7.5929 -0.0145 0.0188 3.4964 6.7934 0.0342 -3.4964 1.7588 6.5619" Properties=species:S:1:pos:R:3 pbc="T T T"
Cs 5.6947 6.8463 5.3029
Cs 1.8982 1.6913 1.3120
Nd 5.6947 1.9350 1.5150
Nd 1.8982 6.6026 5.1000
W 7.2165 5.1915 2.0329
W 0.3764 3.3462 4.5820
W 4.1728 3.2632 4.5331
W 3.4201 5.2745 2.0819
O 5.5714 5.7473 2.5178
O 2.0215 2.7903 4.0971
O 5.8180 3.8734 4.9475
O 1.7749 4.6643 1.6675
O 4.6688 1.5591 4.0332
O 2.9241 6.9786 2.5818
O 6.7206 4.2751 0.5117
O 0.8723 4.2625 6.1033
O 7.2318 3.2414 2.7742
O 0.3610 5.2962 3.8407
O 4.1575 3.4848 2.4586
O 3.4354 5.0529 4.1563
O 7.8530 6.7657 1.4263
O -0.2601 1.7720 5.1887
O 3.5363 3.0763 6.2097
O 4.0565 5.4613 0.4052
```

uncorrected formation energy = -2923 kJ/mol of formula units
ρ = 7.57 g/cm3